No. 1
HoAlCuPt after structural relaxation. Source: Alexandria via LeMat-Bulk, functional GGA-PBE.

SG   F-43m
ΔE_f   -719 meV/atom

Lattice parameters (Å, degrees): 4.626 4.626 4.626 60.00 60.00 60.00
Element x y z (fractional)
1 Pt 0.750 0.750 0.750
2 Ho 0.000 0.000 0.000
3 Cu 0.250 0.250 0.250
4 Al 0.500 0.500 0.500

No. 2
Ac2Zn4Pd5 after structural relaxation. Source: Alexandria via LeMat-Bulk, functional GGA-PBE.

E above lowest polymorph   125 meV/atom
SG   C2/m
ΔE_f   -533 meV/atom

Lattice parameters (Å, degrees): 5.802 7.159 6.531 79.86 63.63 66.10
Element x y z (fractional)
1 Pd 0.221 0.224 0.816
2 Zn 0.765 0.541 0.929
3 Pd 0.000 0.500 0.500
4 Pd 0.739 0.224 0.816
5 Zn 0.644 0.906 0.807
6 Pd 0.779 0.776 0.184
7 Zn 0.356 0.094 0.193
8 Pd 0.261 0.776 0.184
9 Ac 0.285 0.778 0.652
10 Zn 0.235 0.459 0.071
11 Ac 0.715 0.222 0.348

No. 3
Nd7DyAl4 after structural relaxation. Source: Alexandria via LeMat-Bulk, functional GGA-PBE.

SG   C2/m
ΔE_f   -65 meV/atom

Lattice parameters (Å, degrees): 5.667 9.361 7.615 77.62 68.15 72.38
Element x y z (fractional)
1 Nd 0.066 0.613 0.255
2 Nd 0.500 0.000 0.000
3 Al 0.674 0.669 0.982
4 Nd 0.794 0.880 0.532
5 Nd 0.934 0.387 0.745
6 Nd 0.705 0.352 0.237
7 Al 0.326 0.331 0.018
8 Al 0.552 0.240 0.656
9 Nd 0.206 0.120 0.468
10 Al 0.448 0.760 0.344
11 Nd 0.295 0.648 0.763
12 Dy 0.000 0.000 0.000

No. 4
SrAlSe2O8 after structural relaxation. Source: Alexandria via LeMat-Bulk, functional GGA-PBE.

ΔE_f (raw)   -141.0 kJ/mol of atoms
SG   P-3m1

Lattice parameters (Å, degrees): 5.476 5.476 6.978 90.00 90.00 120.00
Element x y z (fractional)
1 O 0.333 0.667 0.530
2 O 0.667 0.333 0.470
3 Al 0.000 0.000 0.000
4 Sr 0.000 0.000 0.500
5 O 0.305 0.153 0.178
6 O 0.153 0.847 0.822
7 O 0.153 0.305 0.822
8 Se 0.667 0.333 0.232
9 O 0.847 0.695 0.178
10 O 0.695 0.847 0.822
11 O 0.847 0.153 0.178
12 Se 0.333 0.667 0.768

No. 5
MnCdMo2 after structural relaxation. Source: Alexandria via LeMat-Bulk, functional GGA-PBE.

SG   P4/mmm
ΔE_f   370 meV/atom

Lattice parameters (Å, degrees): 3.287 3.287 6.052 90.00 90.00 90.00
Last column: magnetic moment on the atom in μB.
Element x y z (fractional)
1 Cd 0.500 0.500 0.250  -0.01
2 Mn 0.500 0.500 0.750  1.72
3 Mo 0.000 0.000 0.554  -0.19
4 Mo 0.000 0.000 0.946  -0.19

No. 6
NaGaSe2O8 after structural relaxation. Source: Alexandria via LeMat-Bulk, functional GGA-PBE.

ΔE_f (raw)   -98.6 kJ/mol of atoms
SG   R-3

Lattice parameters (Å, degrees): 4.943 4.943 8.534 73.17 73.17 60.00
Element x y z (fractional)
1 Ga 0.000 0.000 0.000
2 O 0.618 0.261 0.149
3 Se 0.739 0.739 0.784
4 O 0.382 0.739 0.851
5 O 0.739 0.028 0.851
6 O 0.261 0.972 0.149
7 Na 0.500 0.500 0.500
8 O 0.807 0.807 0.579
9 O 0.193 0.193 0.421
10 O 0.972 0.618 0.149
11 O 0.028 0.382 0.851
12 Se 0.261 0.261 0.216

no.,total energy (eV per atom)
1,-5.334
2,-4.104
3,-4.478
4,-5.800
5,-7.566
6,-5.270